Li3Ga3Ag2: optimized geometry, PBE.

abc: 4.2059 4.0292 8.1576
angles: 76.04 75.23 90.36
Positions (direct):
Ga1 0.6228 0.1244 0.7514
Li1 0.1227 0.6234 0.7545
Ga2 0.3772 0.8756 0.2486
Ag1 0.2409 0.2414 0.5186
Li2 0.0000 0.0000 0.0000
Li3 0.8773 0.3766 0.2455
Ag2 0.7591 0.7586 0.4814
Ga3 0.5000 0.5000 0.0000

Summary:
ΔE to the lowest computed polymorph in meV/atom: 0.0
DFT formation energy in eV/atom: -0.231

KMgTl2Rh: optimized geometry, PBE.

abc: 5.3309 5.3309 5.1285
angles: 90.00 90.00 90.00
Positions (direct):
K1 0.5000 0.5000 0.5000
Tl1 0.0000 0.5000 0.0000
Mg1 0.0000 0.0000 0.5000
Tl2 0.5000 0.0000 0.0000
Rh1 0.0000 0.0000 0.0000

Summary:
DFT formation energy in eV/atom: -0.137

Mg2ScAuBr: optimized geometry, PBE.

abc: 4.9966 5.3889 4.9966
angles: 90.00 90.00 90.00
Positions (direct):
Sc1 0.5000 0.5000 0.5000
Br1 0.0000 0.0000 0.0000
Au1 0.0000 0.5000 0.0000
Mg1 0.5000 0.0000 0.0000
Mg2 0.0000 0.0000 0.5000

Summary:
Formation energy from raw total energies in meV/atom: 444.4

Sr2InGe2Rh5: optimized geometry, PBE.

abc: 3.4912 10.3067 10.3067
angles: 90.00 90.00 90.00
Positions (direct):
Sr1 0.0000 0.1754 0.3246
Ge1 0.0000 0.3770 0.1230
Sr2 0.0000 0.3246 0.8246
Rh1 0.5000 0.0668 0.7862
Rh2 0.5000 0.2862 0.5668
In1 0.0000 0.5000 0.5000
Rh3 0.5000 0.5000 0.0000
Ge2 0.0000 0.8770 0.3770
Rh4 0.5000 0.7862 0.9332
Rh5 0.5000 0.5668 0.7138
Sr3 0.0000 0.6754 0.1754
Rh6 0.5000 0.2138 0.0668
Rh7 0.5000 0.0000 0.5000
Rh8 0.5000 0.4332 0.2862
Rh9 0.5000 0.9332 0.2138
Ge3 0.0000 0.6230 0.8770
In2 0.0000 0.0000 0.0000
Sr4 0.0000 0.8246 0.6754
Rh10 0.5000 0.7138 0.4332
Ge4 0.0000 0.1230 0.6230

Summary:
DFT formation energy in eV/atom: -0.537

Mg2AsPt: optimized geometry, PBE.

abc: 4.6337 4.6337 4.6337
angles: 60.00 60.00 60.00
Positions (direct):
As1 0.5000 0.5000 0.5000
Mg1 0.2500 0.2500 0.2500
Pt1 0.7500 0.7500 0.7500
Mg2 0.0000 0.0000 0.0000

Summary:
DFT formation energy in eV/atom: -0.326

SmHo3Th2: optimized geometry, PBE.

abc: 11.3515 6.6754 6.6754
angles: 117.43 90.00 90.00
Positions (direct):
Th1 0.5000 0.2440 0.2440
Ho1 0.7500 0.0019 0.9981
Sm1 0.2500 0.4966 0.5034
Th2 0.5000 0.7560 0.7560
Sm2 0.7500 0.5034 0.4966
Ho2 0.2500 0.9981 0.0019
Ho3 0.7500 0.0033 0.4981
Ho4 0.7500 0.5019 0.9967
Th3 0.0000 0.7560 0.7560
Ho5 0.2500 0.4981 0.0033
Th4 0.0000 0.2440 0.2440
Ho6 0.2500 0.9967 0.5019

Summary:
ΔE to the lowest computed polymorph in meV/atom: 547.7
DFT formation energy in eV/atom: 0.582

CsNbNiH2: optimized geometry, PBE.

abc: 4.2160 4.6291 4.2160
angles: 90.00 90.00 90.00
Positions (direct):
Nb1 0.0000 0.5000 0.0000
H1 0.5000 0.0000 0.0000
Ni1 0.0000 0.0000 0.0000
H2 0.0000 0.0000 0.5000
Cs1 0.5000 0.5000 0.5000

Summary:
DFT total energy in eV/atom: -3.467

ScCo2Te: optimized geometry, PBE.

abc: 5.1458 5.1458 3.3853
angles: 72.04 72.04 113.81
Each line ends with the local moment (μB).
Positions (direct):
Co1 0.0000 0.0000 0.0000  0.89
Co2 0.5000 0.5000 0.0000  0.89
Sc1 0.5000 0.0000 0.5000  -0.18
Te1 0.0000 0.5000 0.5000  0.01

Summary:
ΔE to the lowest computed polymorph in meV/atom: 352.0
Formation energy from raw total energies in meV/atom: 135.0